Entry 1:
DFT (PBE) results for a geometry-optimized MnMo2As structure.

Cell: 3.1184 4.4307 5.4183 Å, 53.34 90.00 90.00°
Last column: nearest neighbours and their distance in Å.
Element x y z (fractional)
Mo1 0.0000 0.0000 0.0000  4 Mo 2.71, 2 Mn 2.71, 4 As 2.74
Mo2 0.5000 0.5000 0.0000  4 Mo 2.71, 2 As 2.71, 4 Mn 2.74
As1 0.5000 0.5000 0.5000  4 Mn 2.71, 6 Mo 2.71-2.74
Mn1 0.0000 0.0000 0.5000  4 As 2.71, 6 Mo 2.71-2.74

Properties
Calculated volume in A^3/atom: 15.014
E_tot in eV for the cell shown: -34.9
Magnetic moment in Bohr magnetons per cell: 2.589
Density of states at the Fermi level in states/eV/atom: 0.81
Energy of formation from the pure elements in eV/atom: 0.15



Entry 2:
DFT (PBE) results for a geometry-optimized MnMoAs3 structure.

Cell: 4.8917 4.8917 4.8917 Å, 90.00 90.00 90.00°
Last column: nearest neighbours and their distance in Å.
Element x y z (fractional)
As1 0.5000 0.0000 0.0000  2 Mo 2.45
As2 0.0000 0.0000 0.5000  2 Mo 2.45
As3 0.0000 0.5000 0.0000  2 Mo 2.45
Mo1 0.0000 0.0000 0.0000  6 As 2.45
Mn1 0.5000 0.5000 0.5000  12 As 3.46

Properties
Calculated volume in A^3/atom: 23.410
E above lowest polymorph in eV/atom: 0.000
E_tot in eV for the cell shown: -30.6
Magnetic moment in Bohr magnetons per cell: 4.692
Density of states at the Fermi level in states/eV/atom: 0.92
Energy of formation from the pure elements in eV/atom: 0.67



Entry 3:
DFT (PBE) results for a geometry-optimized MnMoAs2 structure.

Cell: 4.7613 4.7613 4.3553 Å, 78.17 78.17 39.95°
Last column: nearest neighbours and their distance in Å.
Element x y z (fractional)
Mo1 0.2713 0.2713 0.1739  7 As 2.55-2.75, 1 Mn 2.84
As1 0.7508 0.7508 0.6769  3 Mn 2.54-2.59, 4 Mo 2.70-2.75
As2 0.9959 0.9959 0.0720  3 Mo 2.55-2.60, 4 Mn 2.72
Mn1 0.4820 0.4820 0.5772  7 As 2.54-2.72

Properties
Calculated volume in A^3/atom: 15.468
E above lowest polymorph in eV/atom: 0.174
E_tot in eV for the cell shown: -29.6
Magnetic moment in Bohr magnetons per cell: 2.815
Density of states at the Fermi level in states/eV/atom: 0.60
Energy of formation from the pure elements in eV/atom: -0.08



Entry 4:
DFT (PBE) results for a geometry-optimized MnMoAs2 structure.

Cell: 5.7646 5.7646 6.8540 Å, 65.13 65.13 90.00°
Last column: nearest neighbours and their distance in Å.
Element x y z (fractional)
Mo1 0.0000 0.0000 0.0000  4 As 2.46
Mo2 0.7500 0.2500 0.5000  4 As 2.46
Mn1 0.2500 0.7500 0.5000  4 As 2.46
Mn2 0.5000 0.5000 0.0000  4 As 2.46
As1 0.3750 0.3736 0.7500  2 Mo 2.46, 2 Mn 2.46
As2 0.6264 0.1250 0.2500  2 Mo 2.46, 2 Mn 2.46
As3 0.8750 0.8764 0.7500  2 Mo 2.46, 2 Mn 2.46
As4 0.1236 0.6250 0.2500  2 Mo 2.46, 2 Mn 2.46

Properties
Calculated volume in A^3/atom: 22.888
E above lowest polymorph in eV/atom: 0.632
E_tot in eV for the cell shown: -55.6
Magnetic moment in Bohr magnetons per cell: 9.338
Density of states at the Fermi level in states/eV/atom: 0.90
Energy of formation from the pure elements in eV/atom: 0.37



Entry 5:
DFT (PBE) results for a geometry-optimized MnMo2As structure.

Cell: 2.8027 2.8027 8.0985 Å, 90.00 90.00 108.34°
Last column: nearest neighbours and their distance in Å.
Element x y z (fractional)
Mo1 0.0000 0.0000 0.9891  2 Mn 2.59, 6 Mo 2.71-2.80
Mo2 0.5000 0.5000 0.2548  2 As 2.66, 6 Mo 2.71-2.80
As1 0.0000 0.0000 0.5140  2 Mn 2.47, 2 Mo 2.66
Mn1 0.5000 0.5000 0.7421  2 As 2.47, 2 Mo 2.59

Properties
Calculated volume in A^3/atom: 15.095
E_tot in eV for the cell shown: -34.8
Magnetic moment in Bohr magnetons per cell: 2.209
Density of states at the Fermi level in states/eV/atom: 0.75
Energy of formation from the pure elements in eV/atom: 0.17



Entry 6:
DFT (PBE) results for a geometry-optimized MnMoAs2 structure.

Cell: 3.3308 3.3308 5.6783 Å, 90.00 90.00 90.00°
Last column: nearest neighbours and their distance in Å.
Element x y z (fractional)
Mo1 0.5000 0.5000 0.7693  5 As 2.58-2.60
As1 0.0000 0.0000 0.9550  4 Mo 2.58, 1 Mn 2.79
As2 0.5000 0.5000 0.3114  4 Mn 2.51, 1 Mo 2.60
Mn1 0.0000 0.0000 0.4643  5 As 2.51-2.79

Properties
Calculated volume in A^3/atom: 15.749
E above lowest polymorph in eV/atom: 0.133
E_tot in eV for the cell shown: -29.8
Magnetic moment in Bohr magnetons per cell: 2.842
Density of states at the Fermi level in states/eV/atom: 0.62
Energy of formation from the pure elements in eV/atom: -0.13



Entry 7:
DFT (PBE) results for a geometry-optimized MnMoAs2 structure.

Cell: 6.0635 6.0635 6.0635 Å, 147.81 148.15 45.92°
Last column: nearest neighbours and their distance in Å.
Element x y z (fractional)
As1 0.9662 0.9662 0.0000  4 Mn 2.49, 2 Mo 2.54
As2 0.7032 0.2032 0.5000  2 Mn 2.51, 4 Mo 2.57
Mo1 0.2938 0.7938 0.5000  6 As 2.54-2.57
Mn1 0.5367 0.5367 0.0000  6 As 2.49-2.51

Properties
Calculated volume in A^3/atom: 15.615
E above lowest polymorph in eV/atom: 0.106
E_tot in eV for the cell shown: -29.9
Magnetic moment in Bohr magnetons per cell: 2.313
Density of states at the Fermi level in states/eV/atom: 0.56
Energy of formation from the pure elements in eV/atom: -0.15



Entry 8:
DFT (PBE) results for a geometry-optimized MnMo2As structure.

Cell: 4.3703 4.3703 3.0648 Å, 90.00 90.00 90.02°
Last column: nearest neighbours and their distance in Å.
Element x y z (fractional)
Mo1 0.0000 0.0000 0.0000  4 As 2.67, 4 Mn 2.67
Mo2 0.5000 0.5000 0.0000  4 Mn 2.67, 4 As 2.67
Mn1 0.0000 0.5000 0.5000  8 Mo 2.67
As1 0.5000 0.0000 0.5000  8 Mo 2.67

Properties
Calculated volume in A^3/atom: 14.634
E_tot in eV for the cell shown: -35.1
Magnetic moment in Bohr magnetons per cell: 2.000
Density of states at the Fermi level in states/eV/atom: 1.06
Energy of formation from the pure elements in eV/atom: 0.09